Entry 1:
AlCuBrCl3 after structural relaxation, computed with PBE.

Cell: 5.805 5.858 6.415 Å, 64.09 63.25 89.83°
Space group P1 (No. 1)
Asymmetric unit:
Al: 0.000 0.000 0.000 (multiplicity 1)
Cu: 0.256 0.763 0.491 (multiplicity 1)
Br: 0.356 0.362 0.747 (multiplicity 1)
Cl: 0.109 0.677 0.241 (multiplicity 1)
Cl: 0.649 0.087 0.244 (multiplicity 1)
Cl: 0.917 0.899 0.750 (multiplicity 1)

Properties
Calculated total energy = -0.1299 Ha/atom

Entry 2:
BaSnBiPd after structural relaxation, computed with PBE.

Cell: 4.906 19.684 4.979 Å, 90.00 90.00 90.00°
Space group Cmcm (No. 63)
Asymmetric unit:
Ba: 0.000 0.109 0.250 (multiplicity 4)
Sn: 0.000 0.252 0.750 (multiplicity 4)
Bi: 0.000 0.452 0.250 (multiplicity 4)
Pd: 0.000 0.311 0.250 (multiplicity 4)

Properties
Calculated total energy = -0.1651 Ha/atom